1.
# LaTe2Br, optimized geometry, DFT PBE
data_LaTe2Br
_space_group_name_H-M_alt 'R -3 m'
_space_group_IT_number 166
_space_group_name_Hall '-R 3 2"'
_cell_length_a 4.8929
_cell_length_b 4.8929
_cell_length_c 26.2533
_cell_angle_alpha 90.00
_cell_angle_beta 90.00
_cell_angle_gamma 120.00
loop_
_atom_site_label
_atom_site_fract_x
_atom_site_fract_y
_atom_site_fract_z
La1 0.0000 0.0000 0.0000
Te1 0.0000 0.0000 0.3939
Br1 0.0000 0.0000 0.5000
# Density of states at the Fermi level, states/eV per cell: 0.27
# Size of the total moment, μB/f.u.: 0.00
# Uncorrected formation energy, eV per atom: -0.933

---

2.
# La5Te4Br, optimized geometry, DFT PBE
data_La5Te4Br
_space_group_name_H-M_alt 'R -3 m'
_space_group_IT_number 166
_space_group_name_Hall '-R 3 2"'
_cell_length_a 4.5682
_cell_length_b 4.5682
_cell_length_c 54.5879
_cell_angle_alpha 90.00
_cell_angle_beta 90.00
_cell_angle_gamma 120.00
loop_
_atom_site_label
_atom_site_fract_x
_atom_site_fract_y
_atom_site_fract_z
La1 0.0000 0.0000 0.0000
La2 0.0000 0.0000 0.1970
La3 0.0000 0.0000 0.4021
Te1 0.0000 0.0000 0.1029
Te2 0.0000 0.0000 0.2990
Br1 0.0000 0.0000 0.5000
# Density of states at the Fermi level, states/eV per cell: 22.73
# Size of the total moment, μB/f.u.: 0.00
# Uncorrected formation energy, eV per atom: -1.527

---

3.
# LaTe4Br, optimized geometry, DFT PBE
data_LaTe4Br
_space_group_name_H-M_alt 'F -4 3 m'
_space_group_IT_number 216
_space_group_name_Hall 'F -4 2 3'
_cell_length_a 9.006
_cell_length_b 9.006
_cell_length_c 9.006
_cell_angle_alpha 90.00
_cell_angle_beta 90.00
_cell_angle_gamma 90.00
loop_
_atom_site_label
_atom_site_fract_x
_atom_site_fract_y
_atom_site_fract_z
La1 0.000 0.000 0.000
Te1 0.125 0.125 0.625
Br1 0.250 0.250 0.250
# Density of states at the Fermi level, states/eV per cell: 4.23
# Size of the total moment, μB/f.u.: 0.00
# Uncorrected formation energy, eV per atom: -0.494

---

4.
# La4Te5Br, optimized geometry, DFT PBE
data_La4Te5Br
_space_group_name_H-M_alt 'I m m m'
_space_group_IT_number 71
_space_group_name_Hall '-I 2 2'
_cell_length_a 4.214
_cell_length_b 9.262
_cell_length_c 18.045
_cell_angle_alpha 90.00
_cell_angle_beta 90.00
_cell_angle_gamma 90.00
loop_
_atom_site_label
_atom_site_fract_x
_atom_site_fract_y
_atom_site_fract_z
La1 0.000 0.000 0.213
La2 0.000 0.246 0.000
Te1 0.000 0.251 0.344
Te2 0.000 0.500 0.500
Br1 0.000 0.000 0.500
# Density of states at the Fermi level, states/eV per cell: 3.72
# Size of the total moment, μB/f.u.: 0.00
# Uncorrected formation energy, eV per atom: -1.462

---

5.
# LaTeBr, optimized geometry, DFT PBE
data_LaTeBr
_space_group_name_H-M_alt 'P -1'
_space_group_IT_number 2
_cell_length_a 4.118
_cell_length_b 8.038
_cell_length_c 8.145
_cell_angle_alpha 70.74
_cell_angle_beta 75.42
_cell_angle_gamma 75.16
loop_
_space_group_symop_operation_xyz
'x,y,z'
'-x,-y,-z'
loop_
_atom_site_label
_atom_site_fract_x
_atom_site_fract_y
_atom_site_fract_z
La1 0.088 0.261 0.062
Te1 0.385 0.490 0.240
Br1 0.340 0.035 0.785
# Density of states at the Fermi level, states/eV per cell: 0.59
# Size of the total moment, μB/f.u.: 0.00
# Uncorrected formation energy, eV per atom: -1.615

---

6.
# LaTeBr2, optimized geometry, DFT PBE
data_LaTeBr2
_space_group_name_H-M_alt 'I m m 2'
_space_group_IT_number 44
_cell_length_a 3.718
_cell_length_b 5.341
_cell_length_c 16.336
_cell_angle_alpha 90.00
_cell_angle_beta 90.00
_cell_angle_gamma 90.00
loop_
_space_group_symop_operation_xyz
'x,y,z'
'-x,-y,z'
'-x,y,z'
'x,-y,z'
'x+1/2,y+1/2,z+1/2'
'-x+1/2,-y+1/2,z+1/2'
'-x+1/2,y+1/2,z+1/2'
'x+1/2,-y+1/2,z+1/2'
loop_
_atom_site_label
_atom_site_fract_x
_atom_site_fract_y
_atom_site_fract_z
La1 0.000 0.000 0.000
Te1 0.000 0.500 0.667
Br1 0.000 0.000 0.505
Br2 0.000 0.500 0.360
# Density of states at the Fermi level, states/eV per cell: 3.88
# Size of the total moment, μB/f.u.: 0.41
# Uncorrected formation energy, eV per atom: -1.258